Entry from Alexandria via LeMat-Bulk: LaNd6Dy3Er2 after structural relaxation (PBE).

Values from the calculation:
ΔH_f (0 K) = 17 meV/atom
Calculated density = 7.5 g cm⁻³
Total energy = -56.26 eV per formula unit
Crystal system = monoclinic
Total magnetization = 0.0 μB per cell

```
data_LaNd6Dy3Er2
_chemical_formula_sum 'La2 Nd12 Dy6 Er4'
_space_group_name_H-M_alt 'C 1 2/m 1'
_space_group_IT_number 12
_cell_length_a 6.291
_cell_length_b 10.896
_cell_length_c 11.953
_cell_angle_alpha 90.00
_cell_angle_beta 100.10
_cell_angle_gamma 90.00
loop_
_space_group_symop_operation_xyz
'x,y,z'
'-x,-y,-z'
'-x,y,-z'
'x,-y,z'
'x+1/2,y+1/2,z'
'-x+1/2,-y+1/2,-z'
'-x+1/2,y+1/2,-z'
'x+1/2,-y+1/2,z'
loop_
_atom_site_label
_atom_site_fract_x
_atom_site_fract_y
_atom_site_fract_z
La1 0.000 0.000 0.000
Nd1 0.249 0.333 0.748
Nd2 0.250 0.000 0.748
Dy1 0.000 0.167 0.500
Dy2 0.000 0.500 0.500
Er1 0.000 0.333 0.000
```